# 1
Density functional theory data (meta-GGA SCAN) for a PBEsol-optimized structure of Bi3AuI.

a = 5.536 Å, b = 5.536 Å, c = 5.536 Å
α = 90.00°, β = 90.00°, γ = 90.00°
Fractional positions:
I 0.500 0.500 0.500
Au 0.000 0.000 0.000
Bi 0.000 0.500 0.000
Bi 0.000 0.000 0.500
Bi 0.500 0.000 0.000

Properties
The formation energy from raw total energies is 521 meV per atom.


# 2
Density functional theory data (meta-GGA SCAN) for a PBEsol-optimized structure of Rb2BiAuI6.

a = 8.388 Å, b = 8.388 Å, c = 8.388 Å
α = 60.00°, β = 60.00°, γ = 60.00°
Fractional positions:
Rb 0.750 0.750 0.750
Rb 0.250 0.250 0.250
Bi 0.000 0.000 0.000
Au 0.500 0.500 0.500
I 0.743 0.257 0.257
I 0.743 0.743 0.257
I 0.257 0.743 0.743
I 0.743 0.257 0.743
I 0.257 0.743 0.257
I 0.257 0.257 0.743

Properties
The formation energy from raw total energies is -782 meV per atom.


# 3
Density functional theory data (meta-GGA SCAN) for a PBEsol-optimized structure of SnBi2AuI.

a = 5.688 Å, b = 5.837 Å, c = 5.837 Å
α = 90.00°, β = 90.00°, γ = 90.00°
Fractional positions:
I 0.000 0.000 0.000
Au 0.500 0.500 0.500
Bi 0.000 0.000 0.500
Bi 0.000 0.500 0.000
Sn 0.500 0.000 0.000

Properties
The formation energy from raw total energies is 1349 meV per atom.


# 4
Density functional theory data (meta-GGA SCAN) for a PBEsol-optimized structure of ZrBiAu2I.

a = 5.074 Å, b = 5.074 Å, c = 5.992 Å
α = 90.00°, β = 90.00°, γ = 90.00°
Last column: magnetic moment on the atom in μB.
Fractional positions:
I 0.000 0.000 0.000  0.04
Au 0.000 0.500 0.000  0.00
Au 0.500 0.000 0.000  0.00
Bi 0.000 0.000 0.500  -0.08
Zr 0.500 0.500 0.500  1.25

Properties
The formation energy from raw total energies is 1052 meV per atom.


# 5
Density functional theory data (meta-GGA SCAN) for a PBEsol-optimized structure of In2BiAu2.

a = 3.516 Å, b = 7.959 Å, c = 7.959 Å
α = 90.00°, β = 90.00°, γ = 90.00°
Fractional positions:
Au 0.000 0.371 0.871
Au 0.000 0.871 0.629
Au 0.000 0.629 0.129
Au 0.000 0.129 0.371
Bi 0.000 0.000 0.000
Bi 0.000 0.500 0.500
In 0.500 0.167 0.667
In 0.500 0.667 0.833
In 0.500 0.833 0.333
In 0.500 0.333 0.167

Properties
The formation energy is -0.09 eV per atom.


# 6
Density functional theory data (meta-GGA SCAN) for a PBEsol-optimized structure of InBi2Au2.

a = 4.352 Å, b = 7.393 Å, c = 7.393 Å
α = 90.00°, β = 90.00°, γ = 90.00°
Fractional positions:
Au 0.000 0.367 0.867
Au 0.000 0.867 0.633
Au 0.000 0.633 0.133
Au 0.000 0.133 0.367
Bi 0.500 0.174 0.674
Bi 0.500 0.674 0.826
Bi 0.500 0.826 0.326
Bi 0.500 0.326 0.174
In 0.000 0.000 0.000
In 0.000 0.500 0.500

Properties
The formation energy is 0.03 eV per atom.


# 7
Density functional theory data (meta-GGA SCAN) for a PBEsol-optimized structure of Bi2Ir2Au.

a = 4.842 Å, b = 5.197 Å, c = 5.197 Å
α = 90.00°, β = 90.00°, γ = 90.00°
Last column: magnetic moment on the atom in μB.
Fractional positions:
Ir 0.500 0.500 0.500  1.11
Ir 0.500 0.000 0.000  1.15
Au 0.000 0.000 0.000  0.09
Bi 0.000 0.000 0.500  -0.02
Bi 0.000 0.500 0.000  -0.02

Properties
The formation energy is 1.93 eV per atom.


# 8
Density functional theory data (meta-GGA SCAN) for a PBEsol-optimized structure of BiIrRu2Au.

a = 4.775 Å, b = 4.775 Å, c = 4.881 Å
α = 90.00°, β = 90.00°, γ = 90.00°
Last column: magnetic moment on the atom in μB.
Fractional positions:
Ru 0.000 0.500 0.000  2.09
Ru 0.500 0.000 0.000  2.09
Ir 0.000 0.000 0.500  0.78
Au 0.000 0.000 0.000  0.31
Bi 0.500 0.500 0.500  -0.02

Properties
The formation energy is 1.88 eV per atom.